Record 1
## TaMnAu (PBE-GGA)

Data for crystalline TaMnAu at its relaxed geometry.

Values from the calculation:
ΔE_f, eV/atom: 0.1680
Energy above the lowest structure with this stoichiometry, kJ/mol of atoms: 14.1
Total energy, Ry/atom: -0.583
Total moment, μB/f.u.: 3.31

a b c (Å): 2.9327 2.9327 6.8434
angles (deg): 90.00 90.00 120.00
Space group P3m1 (No. 156)
Unique sites:
Ta: 0.0000 0.0000 0.0000 [1 per cell]
Mn: 0.3333 0.6667 0.6797 [1 per cell]
Au: 0.6667 0.3333 0.3528 [1 per cell]



Record 2
## TaMnAu (PBE-GGA)

Data for crystalline TaMnAu at its relaxed geometry.

Values from the calculation:
ΔE_f, eV/atom: 0.5320
Energy above the lowest structure with this stoichiometry, kJ/mol of atoms: 49.2
Total energy, Ry/atom: -0.556
Total moment, μB/f.u.: 1.03

a b c (Å): 6.0123 6.0123 6.0123
angles (deg): 90.00 90.00 90.00
Space group F-43m (No. 216)
Unique sites:
Ta: 0.0000 0.0000 0.0000 [4 per cell]
Mn: 0.2500 0.2500 0.2500 [4 per cell]
Au: 0.0000 0.0000 0.5000 [4 per cell]



Record 3
## Ta2MnAu (PBE-GGA)

Data for crystalline Ta2MnAu at its relaxed geometry.

Values from the calculation:
ΔE_f, eV/atom: 0.2079
Energy above the lowest structure with this stoichiometry, kJ/mol of atoms: 25.1
Total energy, Ry/atom: -0.649
Total moment, μB/f.u.: 1.56

a b c (Å): 6.4352 6.4352 6.4352
angles (deg): 90.00 90.00 90.00
Space group F-43m (No. 216)
Unique sites:
Ta: 0.0000 0.0000 0.0000 [4 per cell]
Ta: 0.2500 0.2500 0.2500 [4 per cell]
Mn: 0.2500 0.2500 0.7500 [4 per cell]
Au: 0.0000 0.0000 0.5000 [4 per cell]



Record 4
## Ta2MnAu (PBE-GGA)

Data for crystalline Ta2MnAu at its relaxed geometry.

Values from the calculation:
ΔE_f, eV/atom: 0.0421
Energy above the lowest structure with this stoichiometry, kJ/mol of atoms: 9.1
Total energy, Ry/atom: -0.661
Total moment, μB/f.u.: 3.08

a b c (Å): 3.6435 4.3481 8.6015
angles (deg): 90.00 90.00 90.00
Space group Cmm2 (No. 35)
Unique sites:
Ta: 0.0000 0.0000 0.0000 [2 per cell]
Ta: 0.0000 0.5000 0.2642 [2 per cell]
Mn: 0.0000 0.5000 0.7642 [2 per cell]
Au: 0.0000 0.0000 0.5244 [2 per cell]



Record 5
## TaMnAu (PBE-GGA)

Data for crystalline TaMnAu at its relaxed geometry.

Values from the calculation:
ΔE_f, eV/atom: 0.1772
Energy above the lowest structure with this stoichiometry, kJ/mol of atoms: 15.0
Total energy, Ry/atom: -0.582
Total moment, μB/f.u.: 3.12

a b c (Å): 4.5521 4.5521 2.7463
angles (deg): 90.00 90.00 120.00
Space group P-6m2 (No. 187)
Unique sites:
Ta: 0.0000 0.0000 0.0000 [1 per cell]
Mn: 0.3333 0.6667 0.5000 [1 per cell]
Au: 0.6667 0.3333 0.5000 [1 per cell]



Record 6
## Ta4MnAu (PBE-GGA)

Data for crystalline Ta4MnAu at its relaxed geometry.

Values from the calculation:
ΔE_f, eV/atom: 0.4752
Total energy, Ry/atom: -0.698
Total moment, μB/f.u.: 2.93

a b c (Å): 7.6534 7.6534 7.6534
angles (deg): 90.00 90.00 90.00
Space group F-43m (No. 216)
Unique sites:
Ta: 0.1240 0.1240 0.3760 [16 per cell]
Mn: 0.2500 0.2500 0.7500 [4 per cell]
Au: 0.0000 0.0000 0.0000 [4 per cell]



Record 7
## Ta2MnAu (PBE-GGA)

Data for crystalline Ta2MnAu at its relaxed geometry.

Values from the calculation:
ΔE_f, eV/atom: 0.0321
Energy above the lowest structure with this stoichiometry, kJ/mol of atoms: 8.2
Total energy, Ry/atom: -0.662
Total moment, μB/f.u.: 0.17

a b c (Å): 2.9516 3.8594 5.7689
angles (deg): 90.00 97.73 90.00
Space group P2/m (No. 10)
Unique sites:
Ta: 0.0715 0.0000 0.2760 [2 per cell]
Mn: 0.5000 0.5000 0.5000 [1 per cell]
Au: 0.5000 0.5000 0.0000 [1 per cell]



Record 8
## Ta2MnAu (PBE-GGA)

Data for crystalline Ta2MnAu at its relaxed geometry.

Values from the calculation:
ΔE_f, eV/atom: 0.1937
Energy above the lowest structure with this stoichiometry, kJ/mol of atoms: 23.8
Total energy, Ry/atom: -0.650
Total moment, μB/f.u.: 0.00

a b c (Å): 6.4065 6.4065 6.4065
angles (deg): 90.00 90.00 90.00
Space group Fm-3m (No. 225)
Unique sites:
Ta: 0.2500 0.2500 0.2500 [8 per cell]
Mn: 0.0000 0.0000 0.0000 [4 per cell]
Au: 0.0000 0.0000 0.5000 [4 per cell]



Record 9
## Ta2MnAu (PBE-GGA)

Data for crystalline Ta2MnAu at its relaxed geometry.

Values from the calculation:
ΔE_f, eV/atom: -0.0527
Energy above the lowest structure with this stoichiometry, kJ/mol of atoms: 0.0
Total energy, Ry/atom: -0.668
Total moment, μB/f.u.: 0.00

a b c (Å): 2.9625 2.9625 7.3950
angles (deg): 90.00 90.00 90.00
Space group P4/mmm (No. 123)
Unique sites:
Ta: 0.0000 0.0000 0.2134 [2 per cell]
Mn: 0.5000 0.5000 0.0000 [1 per cell]
Au: 0.5000 0.5000 0.5000 [1 per cell]



Record 10
## Ta2MnAu (PBE-GGA)

Data for crystalline Ta2MnAu at its relaxed geometry.

Values from the calculation:
ΔE_f, eV/atom: 0.5708
Energy above the lowest structure with this stoichiometry, kJ/mol of atoms: 60.2
Total energy, Ry/atom: -0.622
Total moment, μB/f.u.: 2.91

a b c (Å): 3.8557 3.8557 19.7329
angles (deg): 90.00 90.00 90.00
Space group I-42d (No. 122)
Unique sites:
Ta: 0.2442 0.2500 0.1250 [8 per cell]
Mn: 0.0000 0.0000 0.0000 [4 per cell]
Au: 0.0000 0.0000 0.5000 [4 per cell]



Record 11
## Ta3MnAu (PBE-GGA)

Data for crystalline Ta3MnAu at its relaxed geometry.

Values from the calculation:
ΔE_f, eV/atom: 0.7190
Energy above the lowest structure with this stoichiometry, kJ/mol of atoms: 0.0
Total energy, Ry/atom: -0.653
Total moment, μB/f.u.: 0.00

a b c (Å): 4.5723 4.5723 4.5723
angles (deg): 90.00 90.00 90.00
Space group Pm-3m (No. 221)
Unique sites:
Ta: 0.0000 0.0000 0.5000 [3 per cell]
Mn: 0.0000 0.0000 0.0000 [1 per cell]
Au: 0.5000 0.5000 0.5000 [1 per cell]



Record 12
## Ta2MnAu (PBE-GGA)

Data for crystalline Ta2MnAu at its relaxed geometry.

Values from the calculation:
ΔE_f, eV/atom: 0.1004
Energy above the lowest structure with this stoichiometry, kJ/mol of atoms: 14.8
Total energy, Ry/atom: -0.657
Total moment, μB/f.u.: 0.00

a b c (Å): 3.1156 4.5406 9.2842
angles (deg): 90.00 90.00 90.00
Space group Imm2 (No. 44)
Unique sites:
Ta: 0.0000 0.0000 0.0000 [2 per cell]
Ta: 0.0000 0.5000 0.2215 [2 per cell]
Mn: 0.0000 0.0000 0.5138 [2 per cell]
Au: 0.0000 0.5000 0.7780 [2 per cell]



Which formula does entry 11 have? Ta3MnAu



Among the records above, which one has the highest total energy? number 2



Among the records above, which one has the highest ΔE_f? Ta3MnAu



Please write out number 5 again, unchanged.
## TaMnAu (PBE-GGA)

Data for crystalline TaMnAu at its relaxed geometry.

Values from the calculation:
ΔE_f, eV/atom: 0.1772
Energy above the lowest structure with this stoichiometry, kJ/mol of atoms: 15.0
Total energy, Ry/atom: -0.582
Total moment, μB/f.u.: 3.12

a b c (Å): 4.5521 4.5521 2.7463
angles (deg): 90.00 90.00 120.00
Space group P-6m2 (No. 187)
Unique sites:
Ta: 0.0000 0.0000 0.0000 [1 per cell]
Mn: 0.3333 0.6667 0.5000 [1 per cell]
Au: 0.6667 0.3333 0.5000 [1 per cell]